# 1
The following is a DFT calculation (PBE-GGA) of a relaxed Rb2ZrAg2Te2Se2 crystal.

Calculated values
- crystal system = monoclinic
- total magnetization (μB/cell) = 0.004
- VASP energy (eV/atom) = -4.1494
- space-group type = C2

a b c (Å): 7.903 7.903 6.418
angles (deg): 90.62 90.62 132.02
Fractional coordinates of all 9 atoms:
Ag 0.505 0.495 0.000
Ag 0.004 0.996 0.500
Rb 0.498 0.013 0.258
Rb 0.987 0.502 0.742
Se 0.886 0.666 0.224
Se 0.334 0.114 0.776
Te 0.140 0.359 0.249
Te 0.641 0.860 0.751
Zr 0.005 0.995 0.000



# 2
The following is a DFT calculation (PBE-GGA) of a relaxed RbZrAgTe2Se crystal.

Calculated values
- crystal system = monoclinic
- total magnetization (μB/cell) = 0.002
- VASP energy (eV/atom) = -4.5559
- space-group type = P2_1/m

a b c (Å): 8.918 4.197 10.749
angles (deg): 90.00 111.54 90.00
Fractional coordinates of all 12 atoms:
Ag 0.574 0.250 0.105
Ag 0.426 0.750 0.895
Rb 0.232 0.750 0.188
Rb 0.768 0.250 0.812
Se 0.751 0.750 0.069
Se 0.249 0.250 0.931
Te 0.589 0.250 0.368
Te 0.047 0.250 0.370
Te 0.953 0.750 0.630
Te 0.411 0.750 0.632
Zr 0.798 0.750 0.327
Zr 0.202 0.250 0.673



# 3
The following is a DFT calculation (PBE-GGA) of a relaxed RbZrAgTe2Se crystal.

Calculated values
- crystal system = orthorhombic
- total magnetization (μB/cell) = 0.012
- VASP energy (eV/atom) = -4.5304
- space-group type = Cmcm

a b c (Å): 8.378 8.378 10.784
angles (deg): 90.00 90.00 151.06
Fractional coordinates of all 12 atoms:
Ag 0.038 0.962 0.250
Ag 0.962 0.038 0.750
Rb 0.756 0.244 0.250
Rb 0.244 0.756 0.750
Se 0.440 0.560 0.250
Se 0.560 0.440 0.750
Te 0.127 0.873 0.035
Te 0.127 0.873 0.465
Te 0.873 0.127 0.535
Te 0.873 0.127 0.965
Zr 0.500 0.500 0.000
Zr 0.500 0.500 0.500



# 4
The following is a DFT calculation (PBE-GGA) of a relaxed Rb2ZrAg2Te2Se2 crystal.

Calculated values
- crystal system = monoclinic
- total magnetization (μB/cell) = 0.004
- VASP energy (eV/atom) = -4.1452
- space-group type = P2

a b c (Å): 6.428 6.419 7.898
angles (deg): 90.00 113.33 90.00
Fractional coordinates of all 9 atoms:
Ag 0.500 0.017 0.000
Ag 0.000 0.501 0.000
Rb 0.500 0.256 0.500
Rb 0.000 0.740 0.500
Se 0.879 0.231 0.213
Se 0.121 0.231 0.787
Te 0.359 0.758 0.224
Te 0.641 0.758 0.776
Zr 0.000 0.007 0.000